# 1
DFT (GGA-PBE) results for an optimized crystal structure of Cs4IBr2.

Energy above the most stable polymorph in this dataset: 154 meV/atom
E_tot: -34.7 eV/cell
N(E_F): 3.8 states/eV/cell

abc: 7.214 7.214 18.792
angles: 90.00 90.00 90.00
Space group I4/mmm (No. 139)
One atom of each set of equivalent atoms:
Cs 0.000 0.000 0.213 [4 per cell]
Cs 0.000 0.500 0.000 [4 per cell]
I 0.000 0.000 0.000 [2 per cell]
Br 0.000 0.000 0.393 [4 per cell]

# 2
DFT (GGA-PBE) results for an optimized crystal structure of Ba2CaTl6Ag.

E_tot: -95.5 eV/cell
N(E_F): 39.9 states/eV/cell
Calculated formation energy: -97.3 meV per atom

abc: 11.412 11.412 11.412
angles: 90.00 90.00 90.00
Space group Fm-3m (No. 225)
One atom of each set of equivalent atoms:
Ba 0.250 0.250 0.250 [8 per cell]
Ca 0.000 0.000 0.000 [4 per cell]
Tl 0.000 0.000 0.259 [24 per cell]
Ag 0.000 0.000 0.500 [4 per cell]